No. 1
An optimized crystal structure of Cd3IO7, computed with PBE.

Unit cell a=5.4174 b=5.4174 c=5.8381 alpha=70.81 beta=70.81 gamma=91.27
Sites, in units of the cell vectors:
O 0.5165 0.5165 0.5489
O 0.8371 0.8371 0.8119
Cd 0.5128 0.5128 0.9383
Cd 0.2330 0.7918 0.4681
O 0.9828 0.3379 0.7362
O 0.1791 0.1791 0.1467
Cd 0.7918 0.2330 0.4681
O 0.0429 0.6811 0.2106
O 0.3379 0.9828 0.7362
O 0.6811 0.0429 0.2106
I 0.0100 0.0100 0.9743

Properties
total moment	1.03	μB per formula unit
total DFT energy (no corrections)	-4.14	eV per atom
SG	Cm, No. 8
Fermi-level density of states	0.6	states/eV/cell

---

No. 2
An optimized crystal structure of Cd2IO5, computed with PBE.

Unit cell a=4.2414 b=5.9542 c=6.0323 alpha=81.76 beta=69.53 gamma=110.89
Sites, in units of the cell vectors:
O 0.8384 0.7715 0.2969
Cd 0.6573 0.3834 0.2340
O 0.4176 0.2845 0.6474
O 0.6537 0.0275 0.9717
I 0.0949 0.0278 0.9722
O 0.0409 0.7400 0.8239
O 0.1807 0.3156 0.1205
Cd 0.5625 0.6726 0.7103

Properties
total moment	0.00	μB per formula unit
relative energy among the computed polymorphs	0.157	eV per formula unit
SG	P1, No. 1
Fermi-level density of states	2.7	states/eV/cell

---

No. 3
An optimized crystal structure of Cd2I2O, computed with PBE.

Unit cell a=4.4730 b=8.2225 c=10.1508 alpha=76.99 beta=77.27 gamma=74.22
Sites, in units of the cell vectors:
Cd 0.4379 0.1984 0.9257
Cd 0.5621 0.8016 0.0743
I 0.1189 0.5879 0.1742
O 0.4057 0.0553 0.1333
I 0.6467 0.2335 0.4731
O 0.5943 0.9447 0.8667
Cd 0.7250 0.8721 0.6778
I 0.8811 0.4121 0.8258
Cd 0.2750 0.1279 0.3222
I 0.3533 0.7665 0.5269

Properties
total moment	0.04	μB per formula unit
total DFT energy (no corrections)	-2.63	eV per atom
SG	C2/m, No. 12